[1]
This record from the Alexandria database describes a geometry-optimized ZrMn2Pt2 structure. The functional is GGA-PBE.

Properties
Density of states at the Fermi level (states/eV per cell): 13.04
Calculated formation energy (meV per atom): -241

Geometry as extended XYZ:
```
10
Lattice="-2.758 -6.292 2.718 -2.632 -1.733 -6.682 2.352 -1.287 -0.593" Properties=species:S:1:pos:R:3 pbc="T T T"
Mn -3.456 -4.053 -4.915
Mn -4.061 -6.689 -1.591
Mn -1.934 -3.972 0.951
Mn -1.329 -1.336 -2.373
Zr 0.000 0.000 0.000
Zr -2.695 -4.012 -1.982
Pt -1.160 -3.028 -4.388
Pt -2.859 -6.385 -3.842
Pt -1.878 -6.284 -0.170
Pt -0.179 -2.927 -0.716
```


[2]
This record from the Alexandria database describes a geometry-optimized ZrMn2Pt structure. The functional is GGA-PBE.

Properties
Density of states at the Fermi level (states/eV per cell): 3.59
Calculated formation energy (meV per atom): -277

Geometry as extended XYZ:
```
4
Lattice="4.977 0.052 -0.016 1.749 4.660 0.016 -3.353 -2.371 2.813" Properties=species:S:1:pos:R:3 pbc="T T T"
Mn 6.725 4.711 0.000
Mn 3.364 2.357 0.000
Pt 2.494 0.019 1.399
Zr 0.880 2.323 1.415
```


[3]
This record from the Alexandria database describes a geometry-optimized ZrMn2Pt structure. The functional is GGA-PBE.

Properties
Density of states at the Fermi level (states/eV per cell): 3.07
Calculated formation energy (meV per atom): -263

Geometry as extended XYZ:
```
4
Lattice="0.000 3.142 3.142 3.142 0.000 3.142 3.142 3.142 0.000" Properties=species:S:1:pos:R:3 pbc="T T T"
Mn 1.571 1.571 1.571
Mn 4.714 4.714 4.714
Zr 0.000 0.000 0.000
Pt 3.142 3.142 3.142
```


[4]
This record from the Alexandria database describes a geometry-optimized ZrMn2Pt structure. The functional is GGA-PBE.

Properties
Density of states at the Fermi level (states/eV per cell): 11.73
Calculated formation energy (meV per atom): 240

Geometry as extended XYZ:
```
8
Lattice="-0.666 -2.501 -2.749 -2.296 -1.919 2.302 -8.756 2.963 -3.169" Properties=species:S:1:pos:R:3 pbc="T T T"
Mn -2.962 -1.324 -2.510
Mn -3.638 -0.509 0.591
Mn -7.438 0.765 -2.785
Mn -9.399 -1.846 -2.526
Zr -1.481 -2.210 -0.223
Zr -6.267 -0.583 -0.545
Pt 0.000 0.000 0.000
Pt -5.451 -0.874 -3.070
```


[5]
This record from the Alexandria database describes a geometry-optimized ZrMn2Pt structure. The functional is GGA-PBE.

Properties
Density of states at the Fermi level (states/eV per cell): 4.34
Calculated formation energy (meV per atom): 109

Geometry as extended XYZ:
```
4
Lattice="-4.924 6.611 4.395 -6.830 5.945 2.296 -6.754 4.372 4.747" Properties=species:S:1:pos:R:3 pbc="T T T"
Mn -18.405 16.834 11.374
Mn -9.358 8.559 5.783
Pt -4.627 4.232 2.859
Zr -13.881 12.697 8.578
```


[6]
This record from the Alexandria database describes a geometry-optimized Zr2Mn2Pt structure. The functional is GGA-PBE.

Properties
Density of states at the Fermi level (states/eV per cell): 8.94
Calculated formation energy (meV per atom): -354

Geometry as extended XYZ:
```
10
Lattice="-4.084 3.855 3.161 -4.686 -4.363 -0.733 1.059 -1.720 3.466" Properties=species:S:1:pos:R:3 pbc="T T T"
Mn -5.771 -2.380 0.582
Mn -6.492 0.777 2.369
Mn -2.998 1.872 1.845
Mn -2.277 -1.285 0.058
Zr -3.426 -3.135 1.812
Zr -6.087 -1.784 3.296
Zr -4.284 0.907 4.080
Zr -1.623 -0.444 2.597
Pt 0.000 0.000 0.000
Pt -4.385 -0.254 1.214
```


[7]
This record from the Alexandria database describes a geometry-optimized Pu3Mn structure. The functional is GGA-PBE.

Properties
Density of states at the Fermi level (states/eV per cell): 12.72
Calculated formation energy (meV per atom): 174

Geometry as extended XYZ:
```
4
Lattice="-2.412 -0.733 3.950 -4.598 -0.882 -0.192 -1.608 -4.286 1.002" Properties=species:S:1:pos:R:3 pbc="T T T"
Mn -4.309 -2.950 2.380
Pu 0.000 0.000 0.000
Pu -6.464 -4.425 3.570
Pu -2.155 -1.475 1.190
```


[8]
This record from the Alexandria database describes a geometry-optimized Pu4Mn structure. The functional is GGA-PBE.

Properties
Density of states at the Fermi level (states/eV per cell): 25.14
Calculated formation energy (meV per atom): 360

Geometry as extended XYZ:
```
5
Lattice="5.069 0.000 0.000 0.000 5.069 0.000 0.000 0.000 5.069" Properties=species:S:1:pos:R:3 pbc="T T T"
Mn 2.535 2.535 2.535
Pu 0.000 0.000 0.000
Pu 2.535 0.000 2.535
Pu 0.000 2.535 2.535
Pu 2.535 2.535 0.000
```